1.
# Li2Tb5In5 PBE optimized geometry
# formation energy from the elements	-0.337	eV/atom
# VASP energy	-44.716	eV for the cell shown
data_Li2Tb5In5
_chemical_formula_sum 'Li2 Tb5 In5'
_cell_length_a 5.047
_cell_length_b 5.060
_cell_length_c 14.444
_cell_angle_alpha 90.11
_cell_angle_beta 100.05
_cell_angle_gamma 119.70
_symmetry_space_group_name_H-M 'P -1'
_symmetry_Int_Tables_number 2
loop_
_symmetry_equiv_pos_as_xyz
'x,y,z'
'-x,-y,-z'
loop_
_atom_site_label
_atom_site_fract_x
_atom_site_fract_y
_atom_site_fract_z
_atom_site_occupancy
Li1 0.143 0.068 0.214 1
Tb1 0.000 0.500 0.500 1
Tb2 0.390 0.693 0.085 1
Tb3 0.448 0.227 0.672 1
In1 0.000 0.000 0.000 1
In2 0.197 0.601 0.796 1
In3 0.283 0.139 0.424 1

***

2.
# LiTb2In8 PBE optimized geometry
# formation energy from the elements	-0.342	eV/atom
# VASP energy	-36.849	eV for the cell shown
data_LiTb2In8
_chemical_formula_sum 'Li1 Tb2 In8'
_cell_length_a 4.686
_cell_length_b 4.686
_cell_length_c 12.291
_cell_angle_alpha 90.00
_cell_angle_beta 90.00
_cell_angle_gamma 90.00
_symmetry_space_group_name_H-M 'P 4/m m m'
_symmetry_Int_Tables_number 123
_symmetry_space_group_name_Hall '-P 4 2'
loop_
_atom_site_label
_atom_site_fract_x
_atom_site_fract_y
_atom_site_fract_z
_atom_site_occupancy
Li1 0.000 0.000 0.000 1
Tb1 0.000 0.000 0.313 1
In1 0.000 0.500 0.127 1
In2 0.000 0.500 0.500 1
In3 0.500 0.500 0.310 1

***

3.
# Li2TbIn2 PBE optimized geometry
# formation energy from the elements	-0.303	eV/atom
# VASP energy	-30.901	eV for the cell shown
# energy above the most stable polymorph in this dataset	0.009	eV per atom
data_Li2TbIn2
_chemical_formula_sum 'Li4 Tb2 In4'
_cell_length_a 8.267
_cell_length_b 8.267
_cell_length_c 3.148
_cell_angle_alpha 90.00
_cell_angle_beta 90.00
_cell_angle_gamma 90.00
_symmetry_space_group_name_H-M 'P 4/m b m'
_symmetry_Int_Tables_number 127
_symmetry_space_group_name_Hall '-P 4 2ab'
loop_
_atom_site_label
_atom_site_fract_x
_atom_site_fract_y
_atom_site_fract_z
_atom_site_occupancy
Li1 0.117 0.383 0.000 1
Tb1 0.000 0.000 0.000 1
In1 0.179 0.679 0.500 1

***

4.
# LiTb2In3 PBE optimized geometry
# formation energy from the elements	-0.423	eV/atom
# VASP energy	-175.444	eV for the cell shown
data_LiTb2In3
_chemical_formula_sum 'Li8 Tb16 In24'
_cell_length_a 7.151
_cell_length_b 9.798
_cell_length_c 16.968
_cell_angle_alpha 90.00
_cell_angle_beta 90.00
_cell_angle_gamma 90.00
_symmetry_space_group_name_H-M 'F m m m'
_symmetry_Int_Tables_number 69
_symmetry_space_group_name_Hall '-F 2 2'
loop_
_atom_site_label
_atom_site_fract_x
_atom_site_fract_y
_atom_site_fract_z
_atom_site_occupancy
Li1 0.000 0.000 0.168 1
Tb1 0.250 0.000 0.000 1
Tb2 0.250 0.250 0.250 1
In1 0.000 0.000 0.328 1
In2 0.000 0.242 0.087 1

***

5.
# Li2TbIn9 PBE optimized geometry
# formation energy from the elements	-0.213	eV/atom
# VASP energy	-35.658	eV for the cell shown
data_Li2TbIn9
_chemical_formula_sum 'Li2 Tb1 In9'
_cell_length_a 4.561
_cell_length_b 4.561
_cell_length_c 13.946
_cell_angle_alpha 90.00
_cell_angle_beta 90.00
_cell_angle_gamma 90.00
_symmetry_space_group_name_H-M 'P 4/m m m'
_symmetry_Int_Tables_number 123
_symmetry_space_group_name_Hall '-P 4 2'
loop_
_atom_site_label
_atom_site_fract_x
_atom_site_fract_y
_atom_site_fract_z
_atom_site_occupancy
Li1 0.000 0.000 0.172 1
Tb1 0.000 0.000 0.500 1
In1 0.000 0.500 0.000 1
In2 0.000 0.500 0.326 1
In3 0.500 0.500 0.167 1
In4 0.500 0.500 0.500 1

***

6.
# Li3Tb2In4 PBE optimized geometry
# formation energy from the elements	-0.330	eV/atom
# VASP energy	-115.715	eV for the cell shown
data_Li3Tb2In4
_chemical_formula_sum 'Li12 Tb8 In16'
_cell_length_a 6.194
_cell_length_b 16.421
_cell_length_c 8.083
_cell_angle_alpha 90.00
_cell_angle_beta 90.00
_cell_angle_gamma 90.00
_symmetry_space_group_name_H-M 'C m c e'
_symmetry_Int_Tables_number 64
_symmetry_space_group_name_Hall '-C 2ac 2'
loop_
_atom_site_label
_atom_site_fract_x
_atom_site_fract_y
_atom_site_fract_z
_atom_site_occupancy
Li1 0.000 0.000 0.000 1
Li2 0.250 0.234 0.250 1
Tb1 0.000 0.105 0.596 1
In1 0.000 0.172 0.982 1
In2 0.250 0.062 0.250 1

***

7.
# Li3TbIn3 PBE optimized geometry
# formation energy from the elements	0.224	eV/atom
# VASP energy	-34.040	eV for the cell shown
data_Li3TbIn3
_chemical_formula_sum 'Li6 Tb2 In6'
_cell_length_a 7.058
_cell_length_b 7.058
_cell_length_c 7.058
_cell_angle_alpha 90.00
_cell_angle_beta 90.00
_cell_angle_gamma 90.00
_symmetry_space_group_name_H-M 'P m -3 n'
_symmetry_Int_Tables_number 223
_symmetry_space_group_name_Hall '-P 4n 2 3'
loop_
_atom_site_label
_atom_site_fract_x
_atom_site_fract_y
_atom_site_fract_z
_atom_site_occupancy
Li1 0.000 0.250 0.500 1
Tb1 0.000 0.000 0.000 1
In1 0.000 0.500 0.250 1

***

8.
# Li2TbIn2 PBE optimized geometry
# formation energy from the elements	-0.312	eV/atom
# VASP energy	-30.992	eV for the cell shown
# energy above the most stable polymorph in this dataset	0.000	eV per atom
data_Li2TbIn2
_chemical_formula_sum 'Li4 Tb2 In4'
_cell_length_a 5.005
_cell_length_b 4.780
_cell_length_c 9.911
_cell_angle_alpha 90.00
_cell_angle_beta 104.29
_cell_angle_gamma 90.00
_symmetry_space_group_name_H-M 'P 1 21/m 1'
_symmetry_Int_Tables_number 11
loop_
_symmetry_equiv_pos_as_xyz
'x,y,z'
'-x,-y,-z'
'-x,y+1/2,-z'
'x,-y+1/2,z'
loop_
_atom_site_label
_atom_site_fract_x
_atom_site_fract_y
_atom_site_fract_z
_atom_site_occupancy
Li1 0.045 0.250 0.083 1
Li2 0.151 0.750 0.301 1
Tb1 0.350 0.750 0.700 1
In1 0.241 0.250 0.485 1
In2 0.459 0.250 0.911 1

***

9.
# LiTb12In6 PBE optimized geometry
# formation energy from the elements	-0.209	eV/atom
# VASP energy	-233.648	eV for the cell shown
data_LiTb12In6
_chemical_formula_sum 'Li3 Tb36 In18'
_cell_length_a 11.3119
_cell_length_b 11.3119
_cell_length_c 14.3413
_cell_angle_alpha 90.00
_cell_angle_beta 90.00
_cell_angle_gamma 120.00
_symmetry_space_group_name_H-M 'R -3'
_symmetry_Int_Tables_number 148
_symmetry_space_group_name_Hall '-R 3'
loop_
_atom_site_label
_atom_site_fract_x
_atom_site_fract_y
_atom_site_fract_z
_atom_site_occupancy
Li1 0.0000 0.0000 0.0000 1
Tb1 0.0623 0.8744 0.8105 1
Tb2 0.0649 0.2181 0.4095 1
In1 0.0384 0.5918 0.7092 1

***

10.
# LiTb2In4 PBE optimized geometry
# formation energy from the elements	-0.139	eV/atom
# VASP energy	-46.208	eV for the cell shown
data_LiTb2In4
_chemical_formula_sum 'Li2 Tb4 In8'
_cell_length_a 4.778
_cell_length_b 4.778
_cell_length_c 15.893
_cell_angle_alpha 90.00
_cell_angle_beta 90.00
_cell_angle_gamma 90.00
_symmetry_space_group_name_H-M 'I 4/m m m'
_symmetry_Int_Tables_number 139
_symmetry_space_group_name_Hall '-I 4 2'
loop_
_atom_site_label
_atom_site_fract_x
_atom_site_fract_y
_atom_site_fract_z
_atom_site_occupancy
Li1 0.000 0.000 0.000 1
Tb1 0.000 0.000 0.360 1
In1 0.000 0.000 0.165 1
In2 0.000 0.500 0.000 1

***

11.
# Li4TbIn15 PBE optimized geometry
# formation energy from the elements	-0.180	eV/atom
# VASP energy	-56.968	eV for the cell shown
data_Li4TbIn15
_chemical_formula_sum 'Li4 Tb1 In15'
_cell_length_a 4.513
_cell_length_b 4.513
_cell_length_c 23.592
_cell_angle_alpha 90.00
_cell_angle_beta 90.00
_cell_angle_gamma 90.00
_symmetry_space_group_name_H-M 'P 4/m m m'
_symmetry_Int_Tables_number 123
_symmetry_space_group_name_Hall '-P 4 2'
loop_
_atom_site_label
_atom_site_fract_x
_atom_site_fract_y
_atom_site_fract_z
_atom_site_occupancy
Li1 0.000 0.000 0.097 1
Li2 0.000 0.000 0.302 1
Tb1 0.000 0.000 0.500 1
In1 0.000 0.500 0.000 1
In2 0.000 0.500 0.198 1
In3 0.000 0.500 0.396 1
In4 0.500 0.500 0.098 1
In5 0.500 0.500 0.299 1
In6 0.500 0.500 0.500 1

***

12.
# LiTb5In6 PBE optimized geometry
# formation energy from the elements	-0.446	eV/atom
# VASP energy	-93.698	eV for the cell shown
data_LiTb5In6
_chemical_formula_sum 'Li2 Tb10 In12'
_cell_length_a 5.233
_cell_length_b 7.532
_cell_length_c 15.789
_cell_angle_alpha 90.00
_cell_angle_beta 90.00
_cell_angle_gamma 90.00
_symmetry_space_group_name_H-M 'I m m m'
_symmetry_Int_Tables_number 71
_symmetry_space_group_name_Hall '-I 2 2'
loop_
_atom_site_label
_atom_site_fract_x
_atom_site_fract_y
_atom_site_fract_z
_atom_site_occupancy
Li1 0.000 0.000 0.000 1
Tb1 0.000 0.000 0.337 1
Tb2 0.000 0.500 0.000 1
Tb3 0.000 0.500 0.330 1
In1 0.000 0.239 0.160 1
In2 0.000 0.273 0.500 1

***

13.
# Li5TbIn6 PBE optimized geometry
# formation energy from the elements	-0.314	eV/atom
# VASP energy	-68.790	eV for the cell shown
data_Li5TbIn6
_chemical_formula_sum 'Li10 Tb2 In12'
_cell_length_a 4.761
_cell_length_b 14.440
_cell_length_c 7.400
_cell_angle_alpha 90.00
_cell_angle_beta 90.00
_cell_angle_gamma 90.00
_symmetry_space_group_name_H-M 'C m m m'
_symmetry_Int_Tables_number 65
_symmetry_space_group_name_Hall '-C 2 2'
loop_
_atom_site_label
_atom_site_fract_x
_atom_site_fract_y
_atom_site_fract_z
_atom_site_occupancy
Li1 0.000 0.000 0.000 1
Li2 0.000 0.329 0.000 1
Li3 0.000 0.330 0.500 1
Tb1 0.000 0.000 0.500 1
In1 0.000 0.172 0.238 1
In2 0.000 0.500 0.218 1

***

14.
# Li2Tb3In5 PBE optimized geometry
# formation energy from the elements	-0.385	eV/atom
# VASP energy	-70.527	eV for the cell shown
data_Li2Tb3In5
_chemical_formula_sum 'Li4 Tb6 In10'
_cell_length_a 10.364
_cell_length_b 10.364
_cell_length_c 4.401
_cell_angle_alpha 90.00
_cell_angle_beta 90.00
_cell_angle_gamma 90.00
_symmetry_space_group_name_H-M 'P 4/m b m'
_symmetry_Int_Tables_number 127
_symmetry_space_group_name_Hall '-P 4 2ab'
loop_
_atom_site_label
_atom_site_fract_x
_atom_site_fract_y
_atom_site_fract_z
_atom_site_occupancy
Li1 0.120 0.380 0.000 1
Tb1 0.000 0.000 0.000 1
Tb2 0.174 0.674 0.000 1
In1 0.000 0.500 0.500 1
In2 0.074 0.213 0.500 1

***

15.
# LiTb4In5 PBE optimized geometry
# formation energy from the elements	-0.450	eV/atom
# VASP energy	-38.628	eV for the cell shown
data_LiTb4In5
_chemical_formula_sum 'Li1 Tb4 In5'
_cell_length_a 3.540
_cell_length_b 3.540
_cell_length_c 20.190
_cell_angle_alpha 90.00
_cell_angle_beta 90.00
_cell_angle_gamma 90.00
_symmetry_space_group_name_H-M 'P 4/m m m'
_symmetry_Int_Tables_number 123
_symmetry_space_group_name_Hall '-P 4 2'
loop_
_atom_site_label
_atom_site_fract_x
_atom_site_fract_y
_atom_site_fract_z
_atom_site_occupancy
Li1 0.000 0.000 0.000 1
Tb1 0.000 0.000 0.182 1
Tb2 0.000 0.000 0.394 1
In1 0.500 0.500 0.078 1
In2 0.500 0.500 0.288 1
In3 0.500 0.500 0.500 1

***

16.
# LiTb12In3 PBE optimized geometry
# formation energy from the elements	-0.151	eV/atom
# VASP energy	-68.111	eV for the cell shown
data_LiTb12In3
_chemical_formula_sum 'Li1 Tb12 In3'
_cell_length_a 4.867
_cell_length_b 4.867
_cell_length_c 19.505
_cell_angle_alpha 90.00
_cell_angle_beta 90.00
_cell_angle_gamma 90.00
_symmetry_space_group_name_H-M 'P 4/m m m'
_symmetry_Int_Tables_number 123
_symmetry_space_group_name_Hall '-P 4 2'
loop_
_atom_site_label
_atom_site_fract_x
_atom_site_fract_y
_atom_site_fract_z
_atom_site_occupancy
Li1 0.000 0.000 0.000 1
Tb1 0.000 0.500 0.127 1
Tb2 0.000 0.500 0.375 1
Tb3 0.500 0.500 0.000 1
Tb4 0.500 0.500 0.249 1
Tb5 0.500 0.500 0.500 1
In1 0.000 0.000 0.251 1
In2 0.000 0.000 0.500 1

***

17.
# Li3TbIn2 PBE optimized geometry
# formation energy from the elements	-0.300	eV/atom
# VASP energy	-70.598	eV for the cell shown
data_Li3TbIn2
_chemical_formula_sum 'Li12 Tb4 In8'
_cell_length_a 14.244
_cell_length_b 4.624
_cell_length_c 9.225
_cell_angle_alpha 90.00
_cell_angle_beta 120.81
_cell_angle_gamma 90.00
_symmetry_space_group_name_H-M 'C 1 2/m 1'
_symmetry_Int_Tables_number 12
loop_
_symmetry_equiv_pos_as_xyz
'x,y,z'
'-x,-y,-z'
'-x,y,-z'
'x,-y,z'
'x+1/2,y+1/2,z'
'-x+1/2,-y+1/2,-z'
'-x+1/2,y+1/2,-z'
'x+1/2,-y+1/2,z'
loop_
_atom_site_label
_atom_site_fract_x
_atom_site_fract_y
_atom_site_fract_z
_atom_site_occupancy
Li1 0.048 0.000 0.385 1
Li2 0.089 0.500 0.687 1
Li3 0.240 0.500 0.569 1
Tb1 0.134 0.000 0.008 1
In1 0.063 0.500 0.199 1
In2 0.210 0.000 0.736 1

***

18.
# LiTb4In3 PBE optimized geometry
# formation energy from the elements	-0.388	eV/atom
# VASP energy	-63.506	eV for the cell shown
data_LiTb4In3
_chemical_formula_sum 'Li2 Tb8 In6'
_cell_length_a 5.220
_cell_length_b 5.220
_cell_length_c 15.554
_cell_angle_alpha 90.00
_cell_angle_beta 90.00
_cell_angle_gamma 90.00
_symmetry_space_group_name_H-M 'I 4/m m m'
_symmetry_Int_Tables_number 139
_symmetry_space_group_name_Hall '-I 4 2'
loop_
_atom_site_label
_atom_site_fract_x
_atom_site_fract_y
_atom_site_fract_z
_atom_site_occupancy
Li1 0.000 0.000 0.000 1
Tb1 0.000 0.500 0.125 1
In1 0.000 0.000 0.246 1
In2 0.000 0.000 0.500 1

***

19.
# LiTb2In PBE optimized geometry
# formation energy from the elements	0.206	eV/atom
# VASP energy	-39.270	eV for the cell shown
data_LiTb2In
_chemical_formula_sum 'Li3 Tb6 In3'
_cell_length_a 3.3856
_cell_length_b 3.3856
_cell_length_c 35.2908
_cell_angle_alpha 90.00
_cell_angle_beta 90.00
_cell_angle_gamma 120.00
_symmetry_space_group_name_H-M 'R -3 m'
_symmetry_Int_Tables_number 166
_symmetry_space_group_name_Hall '-R 3 2"'
loop_
_atom_site_label
_atom_site_fract_x
_atom_site_fract_y
_atom_site_fract_z
_atom_site_occupancy
Li1 0.0000 0.0000 0.0000 1
Tb1 0.0000 0.0000 0.4093 1
In1 0.0000 0.0000 0.5000 1

***

20.
# LiTb4In2 PBE optimized geometry
# formation energy from the elements	-0.203	eV/atom
# VASP energy	-82.002	eV for the cell shown
data_LiTb4In2
_chemical_formula_sum 'Li3 Tb12 In6'
_cell_length_a 5.2752
_cell_length_b 5.2752
_cell_length_c 25.1441
_cell_angle_alpha 90.00
_cell_angle_beta 90.00
_cell_angle_gamma 120.00
_symmetry_space_group_name_H-M 'R -3 m'
_symmetry_Int_Tables_number 166
_symmetry_space_group_name_Hall '-R 3 2"'
loop_
_atom_site_label
_atom_site_fract_x
_atom_site_fract_y
_atom_site_fract_z
_atom_site_occupancy
Li1 0.0000 0.0000 0.0000 1
Tb1 0.0000 0.0000 0.1305 1
Tb2 0.0000 0.0000 0.3843 1
In1 0.0000 0.0000 0.2568 1